[1]
Below is crystalline CrBrN3 at its relaxed geometry, with properties calculated at the PBE level.

Cell: 3.8003 3.8003 3.8003 Å, 90.00 90.00 90.00°
Space group Pm-3m (No. 221)
Symmetry-distinct sites (fractional):
Cr 0.0000 0.0000 0.0000 x1
Br 0.5000 0.5000 0.5000 x1
N 0.0000 0.0000 0.5000 x3

Properties
As for the density: 5.26 g cm⁻³. Its volume is 10.98 Å³/atom. The calculation puts the raw formation energy at 130.96 kJ per mole of atoms.

=====

[2]
Below is crystalline Os2RhCl at its relaxed geometry, with properties calculated at the PBE level.

Cell: 2.8011 3.4999 6.7128 Å, 90.00 90.00 90.00°
Space group Pmm2 (No. 25)
Symmetry-distinct sites (fractional):
Os 0.0000 0.0000 0.0000 x1
Os 0.5000 0.5000 0.1885 x1
Rh 0.0000 0.0000 0.4087 x1
Cl 0.5000 0.5000 0.6935 x1

Properties
For the energy above the most stable polymorph in this dataset, the calculation gives 241 meV/atom. As for the density: 13.09 g cm⁻³. Its volume is 16.45 Å³/atom. The calculation puts the raw formation energy at 65.24 kJ per mole of atoms.

=====

[3]
Below is crystalline ZrCdAsSe2 at its relaxed geometry, with properties calculated at the PBE level.

Cell: 5.1864 5.1864 5.3360 Å, 90.00 90.00 90.00°
Space group P4/mmm (No. 123)
Symmetry-distinct sites (fractional):
Zr 0.0000 0.0000 0.0000 x1
Cd 0.5000 0.5000 0.5000 x1
As 0.0000 0.0000 0.5000 x1
Se 0.0000 0.5000 0.0000 x2

Properties
For the energy above the most stable polymorph in this dataset, the calculation gives 0 meV/atom. As for the density: 5.05 g cm⁻³. Its volume is 28.71 Å³/atom. The calculation puts the raw formation energy at -19.79 kJ per mole of atoms.

=====

[4]
Below is crystalline PuMo2N at its relaxed geometry, with properties calculated at the PBE level.

Cell: 2.9498 2.9498 24.3750 Å, 90.00 90.00 120.00°
Space group R-3m (No. 166, hexagonal axes)
Symmetry-distinct sites (fractional):
Pu 0.0000 0.0000 0.0000 x3
Mo 0.0000 0.0000 0.1126 x6
N 0.0000 0.0000 0.5000 x3

Properties
As for the density: 12.20 g cm⁻³. Its volume is 15.31 Å³/atom. The calculation puts the raw formation energy at 30.17 kJ per mole of atoms.

=====

[5]
Below is crystalline LiErIn2Ag4 at its relaxed geometry, with properties calculated at the PBE level.

Cell: 4.8267 4.8267 23.6753 Å, 90.00 90.00 120.00°
Space group R-3m (No. 166, hexagonal axes)
Symmetry-distinct sites (fractional):
Li 0.0000 0.0000 0.0000 x3
Er 0.0000 0.0000 0.5000 x3
In 0.0000 0.0000 0.2483 x6
Ag 0.0000 0.0000 0.1158 x6
Ag 0.0000 0.0000 0.3703 x6

Properties
As for the density: 8.71 g cm⁻³. Its volume is 19.90 Å³/atom. Its formation energy is -2.0 eV per formula unit.

=====

[6]
Below is crystalline AlB2N at its relaxed geometry, with properties calculated at the PBE level.

Cell: 4.5187 4.5187 7.5407 Å, 90.00 90.00 90.00°
Space group I-42d (No. 122)
Symmetry-distinct sites (fractional):
Al 0.0000 0.0000 0.0000 x4
B 0.1427 0.2500 0.6250 x8
N 0.0000 0.0000 0.5000 x4

Properties
For the energy above the most stable polymorph in this dataset, the calculation gives 0 meV/atom. As for the density: 2.70 g cm⁻³. Its volume is 9.62 Å³/atom. The calculation puts the raw formation energy at 34.10 kJ per mole of atoms.

=====

[7]
Below is crystalline Li2DyHo2Ga2 at its relaxed geometry, with properties calculated at the PBE level.

Cell: 4.5858 4.5858 26.1882 Å, 90.00 90.00 120.00°
Space group R-3m (No. 166, hexagonal axes)
Symmetry-distinct sites (fractional):
Li 0.0000 0.0000 0.1027 x6
Dy 0.0000 0.0000 0.5000 x3
Ho 0.0000 0.0000 0.3738 x6
Ga 0.0000 0.0000 0.2386 x6

Properties
As for the density: 6.74 g cm⁻³. Its volume is 22.71 Å³/atom. Its formation energy is -1.9 eV per formula unit.

=====

[8]
Below is crystalline YErPa2As4 at its relaxed geometry, with properties calculated at the PBE level.

Cell: 7.0832 4.0957 7.0933 Å, 90.00 109.50 90.00°
Space group P2/m (No. 10)
Symmetry-distinct sites (fractional):
Y 0.0000 0.0000 0.0000 x1
Er 0.0000 0.5000 0.5000 x1
Pa 0.5000 0.0000 0.5000 x1
Pa 0.5000 0.5000 0.0000 x1
As 0.2501 0.0000 0.7487 x2
As 0.2512 0.5000 0.2518 x2

Properties
As for the density: 8.71 g cm⁻³. Its volume is 24.25 Å³/atom. Its formation energy is -10.2 eV per formula unit.

=====

[9]
Below is crystalline CuPd2Se2 at its relaxed geometry, with properties calculated at the PBE level.

Cell: 6.8207 6.8207 3.7391 Å, 90.00 90.00 90.00°
Space group P4/mbm (No. 127)
Symmetry-distinct sites (fractional):
Cu 0.0000 0.0000 0.0000 x2
Pd 0.1467 0.3533 0.5000 x4
Se 0.1687 0.6687 0.0000 x4

Properties
As for the density: 8.29 g cm⁻³. Its volume is 17.40 Å³/atom. The calculation puts the raw formation energy at -2.22 kJ per mole of atoms.

=====

[10]
Below is crystalline Pm2Y2Si4Ir at its relaxed geometry, with properties calculated at the PBE level.

Cell: 6.8650 6.8650 8.6495 Å, 90.00 90.00 90.00°
Space group I4/mmm (No. 139)
Symmetry-distinct sites (fractional):
Pm 0.0000 0.5000 0.2500 x4
Y 0.0000 0.0000 0.1881 x4
Si 0.2477 0.2477 0.5000 x8
Ir 0.0000 0.0000 0.5000 x2

Properties
As for the density: 6.29 g cm⁻³. Its volume is 22.65 Å³/atom. The calculation puts the raw formation energy at -40.04 kJ per mole of atoms.

=====

[11]
Below is crystalline CsSr2Bi2 at its relaxed geometry, with properties calculated at the PBE level.

Cell: 6.4042 6.4042 13.1275 Å, 90.00 90.00 90.00°
Space group I4/mmm (No. 139)
Symmetry-distinct sites (fractional):
Cs 0.0000 0.0000 0.0000 x2
Sr 0.0000 0.0000 0.3126 x4
Bi 0.0000 0.5000 0.2500 x4

Properties
For the energy above the most stable polymorph in this dataset, the calculation gives 237 meV/atom. As for the density: 4.48 g cm⁻³. Its volume is 53.84 Å³/atom. Its formation energy is -2.4 eV per formula unit.

=====

[12]
Below is crystalline YHg2As2 at its relaxed geometry, with properties calculated at the PBE level.

Cell: 3.9914 3.9914 16.9493 Å, 90.00 90.00 90.00°
Space group I4/mmm (No. 139)
Symmetry-distinct sites (fractional):
Y 0.0000 0.0000 0.0000 x2
Hg 0.0000 0.5000 0.2500 x4
As 0.0000 0.0000 0.4269 x4

Properties
For the energy above the most stable polymorph in this dataset, the calculation gives 0 meV/atom. As for the density: 7.87 g cm⁻³. Its volume is 27.00 Å³/atom. Its formation energy is -1.9 eV per formula unit.